Entry 1:
# YBeSb PBE optimized geometry
# Spin magnetization = 0.00 Bohr magnetons per cell
# Relative energy among the computed polymorphs = 774 meV/atom
data_YBeSb
_chemical_formula_sum 'Y4 Be4 Sb4'
_cell_length_a 6.6886
_cell_length_b 6.6886
_cell_length_c 6.6886
_cell_angle_alpha 90.00
_cell_angle_beta 90.00
_cell_angle_gamma 90.00
_space_group_name_H-M_alt 'F -4 3 m'
_space_group_IT_number 216
_space_group_name_Hall 'F -4 2 3'
loop_
_atom_site_label
_atom_site_type_symbol
_atom_site_fract_x
_atom_site_fract_y
_atom_site_fract_z
Y1 Y 0.0000 0.0000 0.0000
Be1 Be 0.0000 0.0000 0.5000
Sb1 Sb 0.2500 0.2500 0.2500



Entry 2:
# Y2BeSb PBE optimized geometry
# Spin magnetization = 0.00 Bohr magnetons per cell
# Relative energy among the computed polymorphs = 441 meV/atom
data_Y2BeSb
_chemical_formula_sum 'Y8 Be4 Sb4'
_cell_length_a 7.7393
_cell_length_b 7.7393
_cell_length_c 6.9020
_cell_angle_alpha 90.00
_cell_angle_beta 90.00
_cell_angle_gamma 90.00
_space_group_name_H-M_alt 'I -4 2 d'
_space_group_IT_number 122
_space_group_name_Hall 'I -4 2bw'
loop_
_atom_site_label
_atom_site_type_symbol
_atom_site_fract_x
_atom_site_fract_y
_atom_site_fract_z
Y1 Y 0.2180 0.2500 0.1250
Be1 Be 0.0000 0.0000 0.0000
Sb1 Sb 0.0000 0.0000 0.5000



Entry 3:
# Y2BeSb PBE optimized geometry
# Spin magnetization = 0.00 Bohr magnetons per cell
# Relative energy among the computed polymorphs = 274 meV/atom
data_Y2BeSb
_chemical_formula_sum 'Y4 Be2 Sb2'
_cell_length_a 4.7260
_cell_length_b 4.7260
_cell_length_c 8.4209
_cell_angle_alpha 90.00
_cell_angle_beta 90.00
_cell_angle_gamma 90.00
_space_group_name_H-M_alt 'I 4/m m m'
_space_group_IT_number 139
_space_group_name_Hall '-I 4 2'
loop_
_atom_site_label
_atom_site_type_symbol
_atom_site_fract_x
_atom_site_fract_y
_atom_site_fract_z
Y1 Y 0.0000 0.5000 0.2500
Be1 Be 0.0000 0.0000 0.0000
Sb1 Sb 0.0000 0.0000 0.5000



Entry 4:
# YBeSb PBE optimized geometry
# Spin magnetization = 0.00 Bohr magnetons per cell
# Relative energy among the computed polymorphs = 389 meV/atom
data_YBeSb
_chemical_formula_sum 'Y4 Be4 Sb4'
_cell_length_a 4.2235
_cell_length_b 5.8406
_cell_length_c 10.7855
_cell_angle_alpha 90.00
_cell_angle_beta 90.00
_cell_angle_gamma 90.00
_space_group_name_H-M_alt 'F m m 2'
_space_group_IT_number 42
_space_group_name_Hall 'F 2 -2'
loop_
_atom_site_label
_atom_site_type_symbol
_atom_site_fract_x
_atom_site_fract_y
_atom_site_fract_z
Y1 Y 0.0000 0.0000 0.0000
Be1 Be 0.0000 0.0000 0.6771
Sb1 Sb 0.0000 0.0000 0.2955